(1)
An optimized crystal structure of Cs3KCl. Source: the Alexandria database, functional GGA-PBE.

The calculation puts the energy relative to the lowest polymorph listed for this composition at 0 kJ/mol of formula units. The value obtained for the density of states at the Fermi level is 0.83 states/eV per atom. The uncorrected formation energy comes out at -0.754 eV/atom. Its total DFT energy (no corrections) is -9.3 eV per formula unit. As for the calculated density: 2.12 g/cm³. As for the crystal system: cubic.

Cell and atoms, written as CIF:
```
data_Cs3KCl
_cell_length_a 7.185
_cell_length_b 7.185
_cell_length_c 7.185
_cell_angle_alpha 90.00
_cell_angle_beta 90.00
_cell_angle_gamma 90.00
_space_group_name_H-M_alt 'P m -3 m'
_space_group_IT_number 221
_space_group_name_Hall '-P 4 2 3'
loop_
_atom_site_label
_atom_site_type_symbol
_atom_site_fract_x
_atom_site_fract_y
_atom_site_fract_z
_atom_site_occupancy
Cs1 Cs 0.000 0.000 0.500 1
K1 K 0.500 0.500 0.500 1
Cl1 Cl 0.000 0.000 0.000 1
```


(2)
An optimized crystal structure of CsK2Cl. Source: the Alexandria database, functional GGA-PBE.

The calculation puts the energy relative to the lowest polymorph listed for this composition at 157 kJ/mol of formula units. The value obtained for the density of states at the Fermi level is 0.39 states/eV per atom. The uncorrected formation energy comes out at -0.482 eV/atom. Its total DFT energy (no corrections) is -6.8 eV per formula unit. As for the calculated density: 1.68 g/cm³. As for the crystal system: cubic.

Cell and atoms, written as CIF:
```
data_CsK2Cl
_cell_length_a 9.920
_cell_length_b 9.920
_cell_length_c 9.920
_cell_angle_alpha 90.00
_cell_angle_beta 90.00
_cell_angle_gamma 90.00
_space_group_name_H-M_alt 'F m -3 m'
_space_group_IT_number 225
_space_group_name_Hall '-F 4 2 3'
loop_
_atom_site_label
_atom_site_type_symbol
_atom_site_fract_x
_atom_site_fract_y
_atom_site_fract_z
_atom_site_occupancy
Cs1 Cs 0.000 0.000 0.000 1
K1 K 0.250 0.250 0.250 1
Cl1 Cl 0.000 0.000 0.500 1
```


(3)
An optimized crystal structure of CsK3Cl3. Source: the Alexandria database, functional GGA-PBE.

The value obtained for the density of states at the Fermi level is 0.37 states/eV per atom. The uncorrected formation energy comes out at -1.522 eV/atom. Its total DFT energy (no corrections) is -20.3 eV per formula unit. As for the calculated density: 1.75 g/cm³. As for the crystal system: cubic.

Cell and atoms, written as CIF:
```
data_CsK3Cl3
_cell_length_a 8.782
_cell_length_b 8.782
_cell_length_c 8.782
_cell_angle_alpha 90.00
_cell_angle_beta 90.00
_cell_angle_gamma 90.00
_space_group_name_H-M_alt 'P m -3 n'
_space_group_IT_number 223
_space_group_name_Hall '-P 4n 2 3'
loop_
_atom_site_label
_atom_site_type_symbol
_atom_site_fract_x
_atom_site_fract_y
_atom_site_fract_z
_atom_site_occupancy
Cs1 Cs 0.000 0.000 0.000 1
K1 K 0.000 0.250 0.500 1
Cl1 Cl 0.000 0.500 0.250 1
```


(4)
An optimized crystal structure of Cs5K3Cl12. Source: the Alexandria database, functional GGA-PBE.

The value obtained for the density of states at the Fermi level is 0.76 states/eV per atom. The uncorrected formation energy comes out at -1.353 eV/atom. Its total DFT energy (no corrections) is -56.8 eV per formula unit. As for the calculated density: 2.21 g/cm³. As for the crystal system: cubic.

Cell and atoms, written as CIF:
```
data_Cs5K3Cl12
_cell_length_a 19.352
_cell_length_b 19.352
_cell_length_c 19.352
_cell_angle_alpha 90.00
_cell_angle_beta 90.00
_cell_angle_gamma 90.00
_space_group_name_H-M_alt 'I a -3 d'
_space_group_IT_number 230
_space_group_name_Hall '-I 4bd 2c 3'
loop_
_atom_site_label
_atom_site_type_symbol
_atom_site_fract_x
_atom_site_fract_y
_atom_site_fract_z
_atom_site_occupancy
Cs1 Cs 0.000 0.000 0.000 1
Cs2 Cs 0.000 0.250 0.375 1
K1 K 0.000 0.250 0.125 1
Cl1 Cl 0.009 0.089 0.662 1
```


(5)
An optimized crystal structure of CsK2Cl. Source: the Alexandria database, functional GGA-PBE.

The calculation puts the energy relative to the lowest polymorph listed for this composition at 0 kJ/mol of formula units. The value obtained for the density of states at the Fermi level is 0.82 states/eV per atom. The uncorrected formation energy comes out at -0.888 eV/atom. Its total DFT energy (no corrections) is -8.4 eV per formula unit. As for the calculated density: 1.67 g/cm³. As for the crystal system: trigonal.

Cell and atoms, written as CIF:
```
data_CsK2Cl
_cell_length_a 4.7723
_cell_length_b 4.7723
_cell_length_c 37.3334
_cell_angle_alpha 90.00
_cell_angle_beta 90.00
_cell_angle_gamma 120.00
_space_group_name_H-M_alt 'R 3 m'
_space_group_IT_number 160
_space_group_name_Hall 'R 3 -2"'
loop_
_atom_site_label
_atom_site_type_symbol
_atom_site_fract_x
_atom_site_fract_y
_atom_site_fract_z
_atom_site_occupancy
Cs1 Cs 0.0000 0.0000 0.0000 1
K1 K 0.0000 0.0000 0.5473 1
K2 K 0.0000 0.0000 0.7852 1
Cl1 Cl 0.0000 0.0000 0.1661 1
```


(6)
An optimized crystal structure of CsK2Cl2. Source: the Alexandria database, functional GGA-PBE.

The calculation puts the energy relative to the lowest polymorph listed for this composition at 0 kJ/mol of formula units. The value obtained for the density of states at the Fermi level is 0.34 states/eV per atom. The uncorrected formation energy comes out at -1.474 eV/atom. Its total DFT energy (no corrections) is -14.1 eV per formula unit. As for the calculated density: 1.52 g/cm³. As for the crystal system: tetragonal.

Cell and atoms, written as CIF:
```
data_CsK2Cl2
_cell_length_a 5.989
_cell_length_b 5.989
_cell_length_c 17.181
_cell_angle_alpha 90.00
_cell_angle_beta 90.00
_cell_angle_gamma 90.00
_space_group_name_H-M_alt 'I 4/m m m'
_space_group_IT_number 139
_space_group_name_Hall '-I 4 2'
loop_
_atom_site_label
_atom_site_type_symbol
_atom_site_fract_x
_atom_site_fract_y
_atom_site_fract_z
_atom_site_occupancy
Cs1 Cs 0.000 0.000 0.000 1
K1 K 0.000 0.500 0.250 1
Cl1 Cl 0.000 0.000 0.202 1
```


(7)
An optimized crystal structure of Cs2K2Cl. Source: the Alexandria database, functional GGA-PBE.

The calculation puts the energy relative to the lowest polymorph listed for this composition at 29 kJ/mol of formula units. The value obtained for the density of states at the Fermi level is 1.00 states/eV per atom. The uncorrected formation energy comes out at -0.589 eV/atom. Its total DFT energy (no corrections) is -8.7 eV per formula unit. As for the calculated density: 1.68 g/cm³. As for the crystal system: tetragonal.

Cell and atoms, written as CIF:
```
data_Cs2K2Cl
_cell_length_a 9.030
_cell_length_b 9.030
_cell_length_c 9.201
_cell_angle_alpha 90.00
_cell_angle_beta 90.00
_cell_angle_gamma 90.00
_space_group_name_H-M_alt 'P 4/m b m'
_space_group_IT_number 127
_space_group_name_Hall '-P 4 2ab'
loop_
_atom_site_label
_atom_site_type_symbol
_atom_site_fract_x
_atom_site_fract_y
_atom_site_fract_z
_atom_site_occupancy
Cs1 Cs 0.184 0.316 0.000 1
K1 K 0.206 0.706 0.500 1
Cl1 Cl 0.000 0.000 0.500 1
```


(8)
An optimized crystal structure of Cs6K2Cl3. Source: the Alexandria database, functional GGA-PBE.

The value obtained for the density of states at the Fermi level is 0.50 states/eV per atom. The uncorrected formation energy comes out at -0.993 eV/atom. Its total DFT energy (no corrections) is -23.8 eV per formula unit. As for the calculated density: 2.03 g/cm³. As for the crystal system: monoclinic.

Cell and atoms, written as CIF:
```
data_Cs6K2Cl3
_cell_length_a 17.025
_cell_length_b 6.728
_cell_length_c 15.733
_cell_angle_alpha 90.00
_cell_angle_beta 117.05
_cell_angle_gamma 90.00
_space_group_name_H-M_alt 'C 1 2/m 1'
_space_group_IT_number 12
_space_group_name_Hall '-C 2y'
loop_
_atom_site_label
_atom_site_type_symbol
_atom_site_fract_x
_atom_site_fract_y
_atom_site_fract_z
_atom_site_occupancy
Cs1 Cs 0.095 0.000 0.407 1
Cs2 Cs 0.099 0.000 0.958 1
Cs3 Cs 0.148 0.500 0.223 1
K1 K 0.150 0.500 0.687 1
Cl1 Cl 0.000 0.500 0.000 1
Cl2 Cl 0.131 0.000 0.201 1
```


(9)
An optimized crystal structure of Cs4KCl. Source: the Alexandria database, functional GGA-PBE.

The value obtained for the density of states at the Fermi level is 0.70 states/eV per atom. The uncorrected formation energy comes out at -0.614 eV/atom. Its total DFT energy (no corrections) is -10.0 eV per formula unit. As for the calculated density: 2.03 g/cm³. As for the crystal system: monoclinic.

Cell and atoms, written as CIF:
```
data_Cs4KCl
_cell_length_a 23.135
_cell_length_b 9.112
_cell_length_c 9.822
_cell_angle_alpha 90.00
_cell_angle_beta 106.46
_cell_angle_gamma 90.00
_space_group_name_H-M_alt 'C 1 2/c 1'
_space_group_IT_number 15
_space_group_name_Hall '-C 2yc'
loop_
_atom_site_label
_atom_site_type_symbol
_atom_site_fract_x
_atom_site_fract_y
_atom_site_fract_z
_atom_site_occupancy
Cs1 Cs 0.103 0.103 0.440 1
Cs2 Cs 0.201 0.445 0.169 1
K1 K 0.000 0.397 0.750 1
Cl1 Cl 0.250 0.250 0.500 1
```


(10)
An optimized crystal structure of CsK3Cl4. Source: the Alexandria database, functional GGA-PBE.

The value obtained for the density of states at the Fermi level is 0.00 states/eV per atom. The uncorrected formation energy comes out at -1.943 eV/atom. Its total DFT energy (no corrections) is -27.1 eV per formula unit. As for the calculated density: 2.30 g/cm³. As for the crystal system: orthorhombic.

Cell and atoms, written as CIF:
```
data_CsK3Cl4
_cell_length_a 9.288
_cell_length_b 13.121
_cell_length_c 4.636
_cell_angle_alpha 90.00
_cell_angle_beta 90.00
_cell_angle_gamma 90.00
_space_group_name_H-M_alt 'C m m m'
_space_group_IT_number 65
_space_group_name_Hall '-C 2 2'
loop_
_atom_site_label
_atom_site_type_symbol
_atom_site_fract_x
_atom_site_fract_y
_atom_site_fract_z
_atom_site_occupancy
Cs1 Cs 0.000 0.000 0.000 1
K1 K 0.000 0.500 0.000 1
K2 K 0.250 0.250 0.500 1
Cl1 Cl 0.000 0.258 0.000 1
Cl2 Cl 0.231 0.500 0.500 1
```


(11)
An optimized crystal structure of Cs3K12Cl5. Source: the Alexandria database, functional GGA-PBE.

The value obtained for the density of states at the Fermi level is 0.47 states/eV per atom. The uncorrected formation energy comes out at -0.809 eV/atom. Its total DFT energy (no corrections) is -41.1 eV per formula unit. As for the calculated density: 1.31 g/cm³. As for the crystal system: cubic.

Cell and atoms, written as CIF:
```
data_Cs3K12Cl5
_cell_length_a 21.950
_cell_length_b 21.950
_cell_length_c 21.950
_cell_angle_alpha 90.00
_cell_angle_beta 90.00
_cell_angle_gamma 90.00
_space_group_name_H-M_alt 'I a -3 d'
_space_group_IT_number 230
_space_group_name_Hall '-I 4bd 2c 3'
loop_
_atom_site_label
_atom_site_type_symbol
_atom_site_fract_x
_atom_site_fract_y
_atom_site_fract_z
_atom_site_occupancy
Cs1 Cs 0.000 0.250 0.125 1
K1 K 0.037 0.137 0.947 1
Cl1 Cl 0.000 0.000 0.000 1
Cl2 Cl 0.000 0.250 0.375 1
```


(12)
An optimized crystal structure of Cs4KCl2. Source: the Alexandria database, functional GGA-PBE.

The value obtained for the density of states at the Fermi level is 0.50 states/eV per atom. The uncorrected formation energy comes out at -0.759 eV/atom. Its total DFT energy (no corrections) is -13.5 eV per formula unit. As for the calculated density: 1.80 g/cm³. As for the crystal system: tetragonal.

Cell and atoms, written as CIF:
```
data_Cs4KCl2
_cell_length_a 7.705
_cell_length_b 7.705
_cell_length_c 19.936
_cell_angle_alpha 90.00
_cell_angle_beta 90.00
_cell_angle_gamma 90.00
_space_group_name_H-M_alt 'I 4/m m m'
_space_group_IT_number 139
_space_group_name_Hall '-I 4 2'
loop_
_atom_site_label
_atom_site_type_symbol
_atom_site_fract_x
_atom_site_fract_y
_atom_site_fract_z
_atom_site_occupancy
Cs1 Cs 0.000 0.000 0.248 1
Cs2 Cs 0.000 0.500 0.000 1
K1 K 0.000 0.000 0.500 1
Cl1 Cl 0.000 0.000 0.091 1
```


(13)
An optimized crystal structure of Cs12K3Cl5. Source: the Alexandria database, functional GGA-PBE.

The value obtained for the density of states at the Fermi level is 0.65 states/eV per atom. The uncorrected formation energy comes out at -0.887 eV/atom. Its total DFT energy (no corrections) is -40.5 eV per formula unit. As for the calculated density: 1.94 g/cm³. As for the crystal system: cubic.

Cell and atoms, written as CIF:
```
data_Cs12K3Cl5
_cell_length_a 23.480
_cell_length_b 23.480
_cell_length_c 23.480
_cell_angle_alpha 90.00
_cell_angle_beta 90.00
_cell_angle_gamma 90.00
_space_group_name_H-M_alt 'I a -3 d'
_space_group_IT_number 230
_space_group_name_Hall '-I 4bd 2c 3'
loop_
_atom_site_label
_atom_site_type_symbol
_atom_site_fract_x
_atom_site_fract_y
_atom_site_fract_z
_atom_site_occupancy
Cs1 Cs 0.040 0.043 0.643 1
K1 K 0.000 0.250 0.125 1
Cl1 Cl 0.000 0.000 0.000 1
Cl2 Cl 0.000 0.250 0.375 1
```


(14)
An optimized crystal structure of CsK4Cl5. Source: the Alexandria database, functional GGA-PBE.

The calculation puts the energy relative to the lowest polymorph listed for this composition at 6 kJ/mol of formula units. The value obtained for the density of states at the Fermi level is 0.00 states/eV per atom. The uncorrected formation energy comes out at -1.939 eV/atom. Its total DFT energy (no corrections) is -33.9 eV per formula unit. As for the calculated density: 2.21 g/cm³. As for the crystal system: tetragonal.

Cell and atoms, written as CIF:
```
data_CsK4Cl5
_cell_length_a 4.643
_cell_length_b 4.643
_cell_length_c 32.582
_cell_angle_alpha 90.00
_cell_angle_beta 90.00
_cell_angle_gamma 90.00
_space_group_name_H-M_alt 'I 4/m m m'
_space_group_IT_number 139
_space_group_name_Hall '-I 4 2'
loop_
_atom_site_label
_atom_site_type_symbol
_atom_site_fract_x
_atom_site_fract_y
_atom_site_fract_z
_atom_site_occupancy
Cs1 Cs 0.000 0.000 0.000 1
K1 K 0.000 0.000 0.202 1
K2 K 0.000 0.000 0.395 1
Cl1 Cl 0.000 0.000 0.105 1
Cl2 Cl 0.000 0.000 0.299 1
Cl3 Cl 0.000 0.000 0.500 1
```